A geometry-optimized LaPr2NdIn structure, computed with PBE-GGA.

a = 6.796 Å, b = 6.738 Å, c = 8.470 Å
α = 113.44°, β = 90.00°, γ = 90.00°
Fractional positions:
Pr (0.000, 0.742, 0.000)
In (0.250, 0.650, 0.300)
Pr (0.500, 0.742, 0.000)
La (0.250, 0.253, 0.505)
Nd (0.750, 0.156, 0.312)
Pr (0.000, 0.258, 0.000)
Nd (0.250, 0.844, 0.688)
In (0.750, 0.350, 0.700)
Pr (0.500, 0.258, 0.000)
La (0.750, 0.747, 0.495)

A geometry-optimized LaNdPuIn structure, computed with PBE-GGA.

a = 5.563 Å, b = 5.563 Å, c = 5.563 Å
α = 60.00°, β = 60.00°, γ = 60.00°
Last column: magnetic moment on the atom in μB.
Fractional positions:
Pu (0.250, 0.250, 0.250)  5.71
Nd (0.000, 0.000, 0.000)  0.19
In (0.750, 0.750, 0.750)  -0.07
La (0.500, 0.500, 0.500)  0.22

A geometry-optimized LaNdInRh structure, computed with PBE-GGA.

a = 5.308 Å, b = 5.308 Å, c = 5.308 Å
α = 60.00°, β = 60.00°, γ = 60.00°
Fractional positions:
La (0.500, 0.500, 0.500)
In (0.750, 0.750, 0.750)
Rh (0.250, 0.250, 0.250)
Nd (0.000, 0.000, 0.000)

A geometry-optimized LaNdInRu structure, computed with PBE-GGA.

a = 5.276 Å, b = 5.276 Å, c = 5.276 Å
α = 60.00°, β = 60.00°, γ = 60.00°
Fractional positions:
Ru (0.250, 0.250, 0.250)
In (0.750, 0.750, 0.750)
Nd (0.500, 0.500, 0.500)
La (0.000, 0.000, 0.000)

no.,DFT total energy (eV per cell)
1,-43.65
2,-27.09
3,-21.54
4,-22.50